Record 1
{"formula": "CdTeRu2", "functional": "PBE", "state": "relaxed", "e_tot_ev_per_cell": -21.62, "space_group": "P4/mmm", "raw_formation_energy_ev_per_atom": 0.247, "cell": [[-0.833, -2.546, -1.791], [2.490, 0.568, -1.966], [3.846, -3.893, 3.745]], "species": ["Cd", "Te", "Ru", "Ru"], "fractional_positions": [[0.500, 0.500, 0.750], [0.500, 0.500, 0.250], [0.000, 0.000, 0.018], [0.000, 0.000, 0.482]]}

---

Record 2
{"formula": "MgZnMo2", "functional": "PBE", "state": "relaxed", "e_tot_ev_per_cell": -23.62, "space_group": "P2/m", "e_form_ev_per_atom": 0.23, "cell": [[-2.983, -1.019, -3.269], [-1.285, -1.656, 1.689], [-3.799, 2.982, 2.537]], "species": ["Mo", "Mo", "Mg", "Zn"], "fractional_positions": [[0.000, 0.473, 0.502], [0.000, 0.027, 0.998], [0.500, 0.750, 0.750], [0.500, 0.250, 0.250]]}

---

Record 3
{"formula": "MgAsP", "functional": "PBE", "state": "relaxed", "e_tot_ev_per_cell": -11.72, "space_group": "P3m1", "e_form_ev_per_atom": -0.02, "cell": [[-3.310, 1.011, -0.752], [0.564, -2.733, 2.180], [0.073, 3.333, 4.161]], "species": ["Mg", "P", "As"], "fractional_positions": [[0.667, 0.333, 0.350], [0.333, 0.667, 0.688], [0.000, 0.000, 0.962]]}

---

Record 4
{"formula": "SrLiAgPb3", "functional": "PBE", "state": "relaxed", "e_tot_ev_per_cell": -36.55, "space_group": "Cmcm", "e_form_ev_per_atom": -0.12, "cell": [[-1.500, -6.309, 1.593], [6.832, -2.335, -2.813], [-0.506, 2.070, 7.725]], "species": ["Ag", "Ag", "Sr", "Sr", "Pb", "Pb", "Pb", "Pb", "Pb", "Pb", "Li", "Li"], "fractional_positions": [[0.750, 0.645, 0.289], [0.250, 0.355, 0.711], [0.250, 0.710, 0.420], [0.750, 0.290, 0.580], [0.750, 0.849, 0.699], [0.000, 0.709, 0.000], [0.250, 0.151, 0.301], [0.000, 0.291, 0.000], [0.500, 0.709, 0.000], [0.500, 0.291, 0.000], [0.250, 0.946, 0.893], [0.750, 0.054, 0.107]]}

---

Record 5
{"formula": "Tl2GaAg", "functional": "PBE", "state": "relaxed", "e_tot_ev_per_cell": -10.07, "space_group": "P4/mmm", "e_form_ev_per_atom": 0.14, "cell": [[3.515, 0.000, 0.000], [0.000, 3.515, 0.000], [0.000, 0.000, 7.891]], "species": ["Ag", "Tl", "Tl", "Ga"], "fractional_positions": [[0.500, 0.500, 0.000], [0.000, 0.000, 0.243], [0.000, 0.000, 0.757], [0.500, 0.500, 0.500]]}

---

Record 6
{"formula": "BeZn13", "functional": "PBE", "state": "relaxed", "e_tot_ev_per_cell": -34.46, "space_group": "Fm-3c", "e_form_ev_per_atom": 0.22, "cell": [[7.287, -4.429, 1.238], [1.697, -3.432, 7.720], [-0.281, -8.546, 1.072]], "species": ["Zn", "Zn", "Zn", "Zn", "Zn", "Zn", "Zn", "Zn", "Zn", "Zn", "Zn", "Zn", "Zn", "Zn", "Zn", "Zn", "Zn", "Zn", "Zn", "Zn", "Zn", "Zn", "Zn", "Zn", "Zn", "Zn", "Be", "Be"], "fractional_positions": [[0.500, 0.500, 0.500], [0.698, 0.302, 0.061], [0.061, 0.698, 0.302], [0.198, 0.561, 0.802], [0.302, 0.061, 0.698], [0.802, 0.439, 0.198], [0.302, 0.939, 0.061], [0.939, 0.698, 0.061], [0.939, 0.302, 0.698], [0.802, 0.561, 0.439], [0.698, 0.061, 0.939], [0.561, 0.198, 0.439], [0.561, 0.439, 0.802], [0.439, 0.198, 0.802], [0.802, 0.198, 0.561], [0.439, 0.561, 0.198], [0.439, 0.802, 0.561], [0.698, 0.939, 0.302], [0.061, 0.302, 0.939], [0.198, 0.802, 0.439], [0.939, 0.061, 0.302], [0.561, 0.802, 0.198], [0.302, 0.698, 0.939], [0.000, 0.000, 0.000], [0.198, 0.439, 0.561], [0.061, 0.939, 0.698], [0.750, 0.750, 0.750], [0.250, 0.250, 0.250]]}

---

Record 7
{"formula": "TiTl2AgCl6", "functional": "PBE", "state": "relaxed", "e_tot_ev_per_cell": -75.52, "space_group": "R-3m", "raw_formation_energy_ev_per_atom": -1.120, "cell": [[-5.545, 2.311, 3.920], [-5.323, -4.502, 1.688], [2.557, -4.030, 12.558]], "species": ["Tl", "Tl", "Tl", "Tl", "Cl", "Cl", "Cl", "Cl", "Cl", "Cl", "Cl", "Cl", "Cl", "Cl", "Cl", "Cl", "Ti", "Ti", "Ag", "Ag"], "fractional_positions": [[0.862, 0.862, 0.415], [0.695, 0.695, 0.916], [0.305, 0.305, 0.084], [0.138, 0.138, 0.585], [0.197, 0.197, 0.891], [0.197, 0.714, 0.891], [0.375, 0.859, 0.391], [0.714, 0.197, 0.891], [0.141, 0.625, 0.609], [0.625, 0.141, 0.609], [0.286, 0.803, 0.109], [0.803, 0.286, 0.109], [0.859, 0.375, 0.391], [0.803, 0.803, 0.109], [0.375, 0.375, 0.391], [0.625, 0.625, 0.609], [0.000, 0.000, 0.000], [0.500, 0.500, 0.500], [0.586, 0.586, 0.241], [0.414, 0.414, 0.759]]}

---

Record 8
{"formula": "MnPb", "functional": "PBE", "state": "relaxed", "e_tot_ev_per_cell": -96.23, "space_group": "I4/m", "e_form_ev_per_atom": 0.42, "cell": [[-1.755, 4.726, -9.219], [-10.282, -1.938, 0.964], [-0.390, 2.831, 1.525]], "species": ["Pb", "Pb", "Pb", "Pb", "Pb", "Pb", "Pb", "Pb", "Mn", "Mn", "Mn", "Mn", "Mn", "Mn", "Mn", "Mn"], "fractional_positions": [[0.322, 0.632, 0.500], [0.368, 0.322, 0.500], [0.678, 0.368, 0.500], [0.632, 0.678, 0.500], [0.822, 0.132, 0.000], [0.868, 0.822, 0.000], [0.178, 0.868, 0.000], [0.132, 0.178, 0.000], [0.859, 0.534, 0.000], [0.641, 0.966, 0.500], [0.141, 0.466, 0.000], [0.466, 0.859, 0.000], [0.534, 0.141, 0.000], [0.034, 0.641, 0.500], [0.359, 0.034, 0.500], [0.966, 0.359, 0.500]]}

---

Record 9
{"formula": "CeNdP", "functional": "PBE", "state": "relaxed", "e_tot_ev_per_cell": -35.30, "space_group": "Cmc2_1", "e_form_ev_per_atom": -0.51, "cell": [[-2.129, 2.701, -2.038], [-3.617, 1.367, 5.589], [5.802, 3.756, 2.836]], "species": ["Ce", "Ce", "P", "P", "Nd", "Nd"], "fractional_positions": [[0.313, 0.385, 0.626], [0.687, 0.885, 0.374], [0.151, 0.159, 0.302], [0.849, 0.659, 0.698], [0.962, 0.997, 0.923], [0.038, 0.497, 0.077]]}

---

Record 10
{"formula": "KMgBr2", "functional": "PBE", "state": "relaxed", "e_tot_ev_per_cell": -10.09, "space_group": "Immm", "raw_formation_energy_ev_per_atom": -1.014, "cell": [[-3.016, 5.230, -0.537], [-4.684, -3.224, -2.099], [2.868, 0.483, 5.317]], "species": ["K", "Br", "Br", "Mg"], "fractional_positions": [[0.750, 0.250, 0.500], [0.041, 0.041, 0.000], [0.459, 0.459, 0.000], [0.250, 0.750, 0.500]]}

---

Record 11
{"formula": "BaSr2LiAs", "functional": "PBE", "state": "relaxed", "e_tot_ev_per_cell": -14.05, "space_group": "P4/mmm", "e_form_ev_per_atom": -0.44, "cell": [[-0.229, 5.906, -1.431], [-1.533, 1.330, 5.732], [6.249, 0.612, 1.529]], "species": ["Li", "Sr", "Sr", "As", "Ba"], "fractional_positions": [[0.500, 0.500, 0.500], [0.500, 0.000, 0.000], [0.000, 0.500, 0.000], [0.000, 0.000, 0.000], [0.000, 0.000, 0.500]]}

---

Record 12
{"formula": "Hg2NF", "functional": "PBE", "state": "relaxed", "e_tot_ev_per_cell": -21.19, "space_group": "I-42d", "raw_formation_energy_ev_per_atom": 0.051, "cell": [[5.304, 0.000, 0.000], [0.000, 5.304, 0.000], [2.652, 2.652, 5.846]], "species": ["Hg", "Hg", "Hg", "Hg", "F", "F", "N", "N"], "fractional_positions": [[0.875, 0.790, 0.750], [0.210, 0.625, 0.250], [0.540, 0.125, 0.250], [0.375, 0.460, 0.750], [0.750, 0.250, 0.500], [0.000, 0.000, 0.000], [0.250, 0.750, 0.500], [0.500, 0.500, 0.000]]}